## Co2TcHg (PBE)

Data for a relaxed Co2TcHg crystal.

Summary:
* raw total energy: -5.84 eV/atom
* symmetry: P4mm
* crystal system: tetragonal
* V: 14.3 Å³/atom

The structure in extended XYZ format:
```
4
Lattice="2.787 0.000 0.000 0.000 2.787 0.000 0.000 0.000 7.358" Properties=species:S:1:pos:R:3 pbc="T T T"
Co 0.000 0.000 0.000
Co 1.393 1.393 1.462
Tc 1.393 1.393 5.766
Hg 0.000 0.000 3.502
```

---

## CoTc2Hg2 (PBE)

Data for a relaxed CoTc2Hg2 crystal.

Summary:
* energy above the most stable polymorph in this dataset: 157 meV/atom
* raw total energy: -4.70 eV/atom
* symmetry: P4/mbm
* crystal system: tetragonal
* V: 18.7 Å³/atom

The structure in extended XYZ format:
```
10
Lattice="7.909 0.000 0.000 0.000 7.909 0.000 0.000 0.000 2.996" Properties=species:S:1:pos:R:3 pbc="T T T"
Co 0.000 0.000 0.000
Co 3.955 3.955 0.000
Tc 0.793 3.161 1.498
Tc 3.161 7.116 1.498
Tc 4.748 0.793 1.498
Tc 7.116 4.748 1.498
Hg 1.523 5.478 0.000
Hg 2.431 1.523 0.000
Hg 5.478 6.386 0.000
Hg 6.386 2.431 0.000
```

---

Looking at ΔE_f for the records above, in order, we have 379 986 meV/atom.